Entry from the Alexandria database: a relaxed LiNiSbO4 crystal (GGA-PBEsol).

Values from the calculation:
Energy relative to the elements, uncorrected in eV per formula unit: -9.8
Spin magnetization in μB/f.u.: 2.0

Cell lengths 6.025, 6.025, 6.025 Å; angles 120.89, 118.59, 90.46 degrees
Element x y z (fractional)
1 Li 0.390 0.140 0.250
2 Li 0.610 0.860 0.750
3 Ni 0.000 0.000 0.500
4 Ni 0.000 0.500 0.000
5 Sb 0.000 0.500 0.500
6 Sb 0.500 0.500 0.000
7 O 0.208 0.731 0.477
8 O 0.246 0.267 0.521
9 O 0.246 0.269 0.977
10 O 0.246 0.726 0.979
11 O 0.754 0.274 0.021
12 O 0.754 0.731 0.023
13 O 0.754 0.733 0.479
14 O 0.792 0.269 0.523